Be2RuW: relaxed, PBE-GGA.

- space group = No. 47
- formation energy from the elements (eV/atom) = 0.1255
- energy above the lowest structure with this stoichiometry (kcal/mol of atoms) = 6.74
- total moment (μB/f.u.) = 0.00
- DFT total energy (eV per cell) = -29.18
- density (g/cm3) = 10.30

a = 3.0615 Å, b = 3.7926 Å, c = 4.2065 Å
α = 90.00°, β = 90.00°, γ = 90.00°
Closest atoms and distances in Å follow each position.
Positions (direct):
Be 0.0000 0.0000 0.0000  4 W 2.44, 4 Be 2.60
Be 0.5000 0.0000 0.5000  4 Ru 2.44, 4 Be 2.60
Ru 0.0000 0.5000 0.5000  4 Be 2.44, 4 W 2.60
W 0.5000 0.5000 0.0000  4 Be 2.44, 4 Ru 2.60